PBE PuZrTcAu, relaxed; DOS at the Fermi energy = 8.221 states/eV per cell; SG = No. 216; volume = 20.21 Å³/atom; E = -9.273 eV per atom; calculated formation energy = -0.142 eV per atom
1.0
4.853 0.000 0.000
2.427 4.203 0.000
2.427 1.401 3.963
Au Tc Zr Pu
1 1 1 1
Cartesian
4.853 2.802 1.981
0.000 0.000 0.000
2.427 1.401 0.991
7.280 4.203 2.972

***

PBE Pt2RhW, relaxed; DOS at the Fermi energy = 6.732 states/eV per cell; SG = No. 59; polymorph energy (0 for the lowest one) = 0 kJ/mol of formula units; volume = 15.17 Å³/atom; E = -8.400 eV per atom; calculated formation energy = -0.303 eV per atom
1.0
4.519 0.000 0.000
0.000 4.852 -0.401
0.000 0.454 5.497
Pt Rh W
4 2 2
Cartesian
3.389 0.799 -0.061
1.130 4.508 5.157
3.389 1.025 2.678
1.130 4.281 2.418
3.389 3.271 1.113
1.130 2.035 3.983
3.389 3.534 3.859
1.130 1.772 1.237

***

PBE Li3IrO4, relaxed; DOS at the Fermi energy = 7.036 states/eV per cell; SG = No. 13; polymorph energy (0 for the lowest one) = 0 kJ/mol of formula units; volume = 9.43 Å³/atom; E = -5.773 eV per atom; formation energy (no corrections) = -1468 meV/atom
1.0
5.208 0.028 0.000
-1.799 4.822 0.000
0.000 0.000 5.995
Ir O Li
2 8 6
Cartesian
3.906 0.021 5.161
1.302 0.007 0.834
4.679 1.207 3.824
2.212 1.086 5.345
2.075 1.193 2.171
-0.392 1.072 0.650
3.800 3.778 5.345
1.334 3.657 3.824
1.196 3.764 0.650
-1.270 3.643 2.171
3.906 0.021 2.308
1.302 0.007 3.686
3.006 2.432 3.560
3.006 2.432 0.832
0.402 2.418 2.434
0.402 2.418 5.162